Entry from Alexandria: a relaxed Pm3CoGe6Rh2 crystal (PBE).

a b c (Å): 5.934 5.934 7.816
angles (deg): 90.00 90.00 120.00
Positions (direct):
1 Pm 0.333 0.667 0.639
2 Pm 0.667 0.333 0.361
3 Pm 0.000 0.000 0.000
4 Co 0.000 0.000 0.500
5 Ge 0.632 0.816 0.298
6 Ge 0.184 0.368 0.298
7 Ge 0.184 0.816 0.298
8 Ge 0.816 0.632 0.702
9 Ge 0.368 0.184 0.702
10 Ge 0.816 0.184 0.702
11 Rh 0.667 0.333 0.957
12 Rh 0.333 0.667 0.043

Results
formation energy = -362.3 meV per atom
total moment = 0.01 μB/f.u.

=====

Entry from Alexandria: a relaxed HgMo4 crystal (PBE).

a b c (Å): 6.291 6.291 6.291
angles (deg): 141.11 141.11 56.18
Positions (direct):
1 Hg 0.000 0.000 0.000
2 Mo 0.250 0.750 0.500
3 Mo 0.618 0.618 0.000
4 Mo 0.382 0.382 0.000
5 Mo 0.750 0.250 0.500

Results
distance to the lowest polymorph of the same formula = 332 meV/atom
formation energy = 768.6 meV per atom
total moment = 0.00 μB/f.u.

=====

Entry from Alexandria: a relaxed Th2Mg3Al2 crystal (PBE).

a b c (Å): 4.321 4.088 10.753
angles (deg): 100.96 90.00 90.00
Positions (direct):
1 Th 0.000 0.829 0.658
2 Th 0.000 0.171 0.342
3 Mg 0.500 0.575 0.150
4 Mg 0.500 0.425 0.850
5 Mg 0.000 0.000 0.000
6 Al 0.500 0.714 0.427
7 Al 0.500 0.286 0.573

Results
formation energy = -107.5 meV per atom
total moment = 0.00 μB/f.u.

=====

Entry from Alexandria: a relaxed UBIr3 crystal (PBE).

a b c (Å): 3.922 8.052 9.554
angles (deg): 90.00 90.00 90.00
Each line ends with the local moment (μB).
Positions (direct):
1 U 0.750 0.822 0.992  1.06
2 U 0.250 0.678 0.492  1.06
3 U 0.750 0.322 0.508  1.06
4 U 0.250 0.178 0.008  1.06
5 B 0.250 0.133 0.659  0.00
6 B 0.250 0.633 0.841  0.00
7 B 0.750 0.367 0.159  0.00
8 B 0.750 0.867 0.341  0.00
9 Ir 0.250 0.586 0.065  -0.08
10 Ir 0.750 0.414 0.935  -0.08
11 Ir 0.250 0.086 0.435  -0.08
12 Ir 0.750 0.914 0.565  -0.08
13 Ir 0.250 0.397 0.726  -0.08
14 Ir 0.750 0.103 0.226  -0.08
15 Ir 0.250 0.897 0.774  -0.08
16 Ir 0.750 0.641 0.723  -0.06
17 Ir 0.250 0.359 0.277  -0.06
18 Ir 0.750 0.141 0.777  -0.06
19 Ir 0.750 0.603 0.274  -0.08
20 Ir 0.250 0.859 0.223  -0.06

Results
formation energy = -448.3 meV per atom
total moment = 0.94 μB/f.u.